Record 1
{"formula": "ZnGa2Mo2", "functional": "PBE-GGA", "state": "relaxed", "lattice_angstrom": [[6.964, 0.000, 0.000], [0.000, 6.964, 0.000], [0.000, 0.000, 3.418]], "species": ["Mo", "Mo", "Mo", "Mo", "Zn", "Zn", "Ga", "Ga", "Ga", "Ga"], "fractional_positions": [[0.375, 0.875, 0.000], [0.875, 0.625, 0.000], [0.625, 0.125, 0.000], [0.125, 0.375, 0.000], [0.000, 0.000, 0.000], [0.500, 0.500, 0.000], [0.172, 0.672, 0.500], [0.672, 0.828, 0.500], [0.828, 0.328, 0.500], [0.328, 0.172, 0.500]], "e_above_lowest_polymorph_mev_per_atom": 0, "final_energy_ev_per_atom": -5.6885, "delta_e_f_ev_per_fu": 0.5, "dos_ef_per_ev_cell": 3.09, "space_group": "P4/mbm, No. 127"}

=====

Record 2
{"formula": "Sr2P7Ru12", "functional": "PBE-GGA", "state": "relaxed", "lattice_angstrom": [[-2.053, 3.222, -1.105], [2.817, -1.294, -9.004], [-8.037, -4.056, 3.104]], "species": ["Sr", "Sr", "P", "P", "P", "P", "P", "P", "P", "Ru", "Ru", "Ru", "Ru", "Ru", "Ru", "Ru", "Ru", "Ru", "Ru", "Ru", "Ru"], "fractional_positions": [[0.500, 0.000, 0.000], [0.000, 0.667, 0.333], [0.000, 0.333, 0.667], [0.000, 0.023, 0.776], [0.000, 0.753, 0.977], [0.000, 0.224, 0.247], [0.500, 0.619, 0.559], [0.500, 0.940, 0.381], [0.500, 0.441, 0.060], [0.500, 0.897, 0.621], [0.500, 0.724, 0.103], [0.500, 0.379, 0.276], [0.500, 0.248, 0.785], [0.500, 0.538, 0.752], [0.500, 0.215, 0.462], [0.000, 0.065, 0.558], [0.000, 0.493, 0.935], [0.000, 0.442, 0.507], [0.000, 0.754, 0.728], [0.000, 0.975, 0.246], [0.000, 0.272, 0.025]], "final_energy_ev_per_atom": -7.8584, "delta_e_f_ev_per_fu": -12.5, "dos_ef_per_ev_cell": 15.94, "space_group": "P-6, No. 174"}

=====

Record 3
{"formula": "Sr5NbH2N4", "functional": "PBE-GGA", "state": "relaxed", "lattice_angstrom": [[6.126, 0.000, 0.000], [-3.063, 5.072, 0.000], [0.000, 0.000, 7.530]], "species": ["Sr", "Sr", "Sr", "Sr", "Sr", "Nb", "H", "H", "N", "N", "N", "N"], "fractional_positions": [[0.077, 0.355, 0.225], [0.428, 0.000, 0.500], [0.077, 0.355, 0.775], [0.721, 0.645, 0.775], [0.721, 0.645, 0.225], [0.410, 0.000, 0.000], [0.914, 0.509, 0.500], [0.405, 0.491, 0.500], [0.605, 0.000, 0.210], [0.605, 0.000, 0.790], [0.381, 0.321, 0.000], [0.060, 0.679, 0.000]], "final_energy_ev_per_atom": -5.6337, "dos_ef_per_ev_cell": 0.42, "space_group": "Amm2, No. 38"}

=====

Record 4
{"formula": "Y3CdI", "functional": "PBE-GGA", "state": "relaxed", "lattice_angstrom": [[5.591, 0.000, 0.000], [0.000, 5.591, 0.000], [0.000, 0.000, 5.591]], "species": ["I", "Y", "Y", "Y", "Cd"], "fractional_positions": [[0.000, 0.000, 0.000], [0.000, 0.500, 0.000], [0.000, 0.000, 0.500], [0.500, 0.000, 0.000], [0.500, 0.500, 0.500]], "e_above_lowest_polymorph_mev_per_atom": 0, "e_form_raw_ev_per_atom": 0.1785, "final_energy_ev_per_atom": -4.1930, "dos_ef_per_ev_cell": 2.01, "space_group": "Pm-3m, No. 221"}